Here is a relaxed structure of AgPtBr6 from OQMD via LeMat-Bulk. Energies are from GGA-PBE.

The structure in POSCAR format:
```
AgPtBr6
1.0
1.0893 -0.8647 6.9779
-4.0475 -4.5357 3.6973
2.7841 -6.0762 2.4400
Br Pt Ag
6 1 1
direct
0.7537 0.2463 0.7537
0.2463 0.2463 0.7537
0.7537 0.2463 0.2463
0.2463 0.7537 0.7537
0.7537 0.7537 0.2463
0.2463 0.7537 0.2463
0.0000 0.0000 0.0000
0.2500 0.2500 0.2500
```

Results
Total magnetization   0.00 μB per formula unit
Energy above the most stable polymorph in this dataset   123 meV/atom
SG   No. 216